Record 1
{"formula": "AlSbPb2", "functional": "PBE", "state": "relaxed", "space_group": "C2, No. 5", "crystal_system": "monoclinic", "density_g_cm3": 8.37, "de_polymorph_mev_per_atom": 68, "cell": [[3.440, -3.448, 0.000], [3.440, 3.448, 0.000], [-3.408, 0.000, 4.707]], "species": ["Al", "Sb", "Pb", "Pb"], "fractional_positions": [[0.000, 0.000, 0.000], [0.252, 0.748, 0.500], [0.494, 0.506, 0.000], [0.750, 0.250, 0.500]]}


Record 2
{"formula": "Al2Sb6Pb5", "functional": "PBE", "state": "relaxed", "space_group": "Pbam, No. 55", "crystal_system": "orthorhombic", "density_g_cm3": 7.46, "cell": [[12.635, 0.000, 0.000], [0.000, 14.075, 0.000], [0.000, 0.000, 4.560]], "species": ["Al", "Al", "Al", "Al", "Sb", "Sb", "Sb", "Sb", "Sb", "Sb", "Sb", "Sb", "Sb", "Sb", "Sb", "Sb", "Pb", "Pb", "Pb", "Pb", "Pb", "Pb", "Pb", "Pb", "Pb", "Pb"], "fractional_positions": [[0.166, 0.206, 0.000], [0.334, 0.706, 0.000], [0.666, 0.294, 0.000], [0.834, 0.794, 0.000], [0.023, 0.896, 0.000], [0.161, 0.588, 0.000], [0.164, 0.317, 0.500], [0.336, 0.817, 0.500], [0.339, 0.088, 0.000], [0.477, 0.396, 0.000], [0.523, 0.604, 0.000], [0.661, 0.912, 0.000], [0.664, 0.183, 0.500], [0.836, 0.683, 0.500], [0.839, 0.412, 0.000], [0.977, 0.104, 0.000], [0.000, 0.500, 0.500], [0.094, 0.751, 0.500], [0.186, 0.000, 0.500], [0.314, 0.500, 0.500], [0.406, 0.251, 0.500], [0.500, 0.000, 0.500], [0.594, 0.749, 0.500], [0.686, 0.500, 0.500], [0.814, 0.000, 0.500], [0.906, 0.249, 0.500]]}


Record 3
{"formula": "AlSbPb", "functional": "PBE", "state": "relaxed", "space_group": "Imm2, No. 44", "crystal_system": "orthorhombic", "density_g_cm3": 7.39, "de_polymorph_mev_per_atom": 39, "cell": [[-1.749, 1.910, 5.986], [1.749, -1.910, 5.986], [1.749, 1.910, -5.986]], "species": ["Al", "Sb", "Pb"], "fractional_positions": [[0.000, 0.000, 0.000], [0.386, 0.386, 0.000], [0.658, 0.658, 0.000]]}


Record 4
{"formula": "AlSbPb2", "functional": "PBE", "state": "relaxed", "space_group": "P4/mmm, No. 123", "crystal_system": "tetragonal", "density_g_cm3": 8.51, "de_polymorph_mev_per_atom": 78, "cell": [[3.355, 0.000, 0.000], [0.000, 3.355, 0.000], [0.000, 0.000, 9.766]], "species": ["Al", "Sb", "Pb", "Pb"], "fractional_positions": [[0.000, 0.000, 0.000], [0.000, 0.000, 0.500], [0.500, 0.500, 0.221], [0.500, 0.500, 0.779]]}


no.,M_tot (μB/f.u.),formation energy without anion corrections (meV per atom)
1,0.0,193
2,0.0,-3
3,0.0,129
4,0.0,203